# 1
Entry from the Alexandria database: an optimized crystal structure of LiNi5 (GGA-PBE).

Cell and atoms, written as POSCAR:
```
LiNi5
1.0
6.634 0.000 0.000
-6.176 2.424 0.000
0.000 0.000 4.077
Li Ni
1 5
Direct
0.001 0.999 0.000
0.332 0.668 0.000
0.668 0.332 0.000
0.443 0.557 0.500
0.779 0.221 0.500
0.110 0.890 0.500
```

Formation energy from the elements = 0.024 eV per atom
Uncorrected energy = -30.7 eV per cell

=====

# 2
Entry from the Alexandria database: an optimized crystal structure of SnBCl (GGA-PBE).

Cell and atoms, written as POSCAR:
```
SnBCl
1.0
-2.758 -2.671 -0.265
4.296 -4.735 3.004
-1.739 0.759 10.449
Sn B Cl
4 4 4
Direct
0.503 0.700 0.860
0.003 0.800 0.140
0.497 0.300 0.140
0.997 0.200 0.860
0.420 0.971 0.938
0.920 0.529 0.062
0.580 0.029 0.062
0.080 0.471 0.938
0.354 0.700 0.336
0.854 0.800 0.664
0.646 0.300 0.664
0.146 0.200 0.336
```

Uncorrected energy = -50.2 eV per cell
Energy relative to the elements, uncorrected = -0.007 eV/atom

=====

# 3
Entry from the Alexandria database: an optimized crystal structure of LiSn2Au6 (GGA-PBE).

Cell and atoms, written as POSCAR:
```
LiSn2Au6
1.0
-0.472 -5.912 3.249
7.392 -0.692 -0.185
0.529 4.028 6.090
Li Sn Au
2 4 12
Direct
0.500 0.500 0.000
0.000 0.000 0.500
0.943 0.403 0.820
0.557 0.903 0.680
0.443 0.097 0.320
0.057 0.597 0.180
0.748 0.837 0.186
0.841 0.659 0.529
0.947 0.884 0.842
0.553 0.384 0.658
0.659 0.159 0.971
0.752 0.337 0.314
0.252 0.163 0.814
0.159 0.341 0.471
0.053 0.116 0.158
0.447 0.616 0.342
0.341 0.841 0.029
0.248 0.663 0.686
```

Formation energy from the elements = -0.178 eV per atom
Uncorrected energy = -62.4 eV per cell

=====

# 4
Entry from the Alexandria database: an optimized crystal structure of DyTmPu2Bi4 (GGA-PBE).

Cell and atoms, written as POSCAR:
```
DyTmPu2Bi4
1.0
4.495 0.000 0.000
0.000 7.793 0.110
0.000 -2.699 7.309
Dy Tm Pu Bi
1 1 2 4
Direct
0.500 0.500 0.000
0.000 0.000 0.000
0.500 0.000 0.500
0.000 0.500 0.500
0.500 0.247 0.245
0.500 0.753 0.755
0.000 0.250 0.754
0.000 0.750 0.246
```

Formation energy from the elements = -0.572 eV per atom
Uncorrected energy = -57.8 eV per cell

=====

# 5
Entry from the Alexandria database: an optimized crystal structure of Ba2C (GGA-PBE).

Cell and atoms, written as POSCAR:
```
Ba2C
1.0
-0.667 -1.331 4.808
1.430 -4.564 1.570
3.973 -0.481 3.052
C Ba
1 2
Direct
0.000 0.000 0.000
0.250 0.250 0.250
0.750 0.750 0.750
```

Formation energy from the elements = 0.743 eV per atom
Uncorrected energy = -10.8 eV per cell

=====

# 6
Entry from the Alexandria database: an optimized crystal structure of NdAlGaHg (GGA-PBE).

Cell and atoms, written as POSCAR:
```
NdAlGaHg
1.0
5.049 0.000 0.000
2.525 4.373 0.000
2.525 1.458 4.123
Nd Hg Ga Al
1 1 1 1
Direct
0.000 0.000 0.000
0.750 0.750 0.750
0.250 0.250 0.250
0.500 0.500 0.500
```

Formation energy from the elements = -0.247 eV per atom
Uncorrected energy = -12.8 eV per cell

=====

# 7
Entry from the Alexandria database: an optimized crystal structure of Na2TlTe (GGA-PBE).

Cell and atoms, written as POSCAR:
```
Na2TlTe
1.0
4.527 0.000 0.000
0.000 5.018 0.000
0.000 0.000 5.018
Na Tl Te
2 1 1
Direct
0.000 0.000 0.500
0.000 0.500 0.000
0.500 0.500 0.500
0.500 0.000 0.000
```

Uncorrected energy = -10.3 eV per cell
Energy relative to the elements, uncorrected = -0.536 eV/atom

=====

# 8
Entry from the Alexandria database: an optimized crystal structure of LaSnPd3 (GGA-PBE).

Cell and atoms, written as POSCAR:
```
LaSnPd3
1.0
5.175 0.000 0.000
0.000 5.175 0.000
0.000 0.000 5.175
Sn Pd La
1 3 1
Direct
0.500 0.500 0.500
0.000 0.500 0.000
0.000 0.000 0.500
0.500 0.000 0.000
0.000 0.000 0.000
```

Formation energy from the elements = 0.412 eV per atom
Uncorrected energy = -22.4 eV per cell

=====

# 9
Entry from the Alexandria database: an optimized crystal structure of Ho5HgRu4 (GGA-PBE).

Cell and atoms, written as POSCAR:
```
Ho5HgRu4
1.0
3.409 0.000 0.000
0.000 3.409 0.000
0.000 0.000 17.739
Ho Hg Ru
5 1 4
Direct
0.500 0.500 0.122
0.500 0.500 0.311
0.500 0.500 0.500
0.500 0.500 0.689
0.500 0.500 0.878
0.000 0.000 0.000
0.000 0.000 0.211
0.000 0.000 0.404
0.000 0.000 0.596
0.000 0.000 0.789
```

Formation energy from the elements = -0.422 eV per atom
Uncorrected energy = -64.5 eV per cell

=====

# 10
Entry from the Alexandria database: an optimized crystal structure of Ho2Si4Ni3Pt (GGA-PBE).

Cell and atoms, written as POSCAR:
```
Ho2Si4Ni3Pt
1.0
3.984 0.000 0.000
0.000 3.984 0.000
0.000 0.000 9.661
Ho Si Ni Pt
2 4 3 1
Direct
0.500 0.000 0.242
0.000 0.500 0.758
0.500 0.500 0.000
0.000 0.000 0.000
0.500 0.000 0.642
0.000 0.500 0.358
0.000 0.000 0.500
0.500 0.000 0.878
0.000 0.500 0.122
0.500 0.500 0.500
```

Uncorrected energy = -63.4 eV per cell
Energy relative to the elements, uncorrected = -0.915 eV/atom

=====

# 11
Entry from the Alexandria database: an optimized crystal structure of Cs3Au (GGA-PBE).

Cell and atoms, written as POSCAR:
```
Cs3Au
1.0
6.308 0.000 0.000
0.000 6.308 0.000
0.000 0.000 6.308
Cs Au
3 1
Direct
0.000 0.500 0.500
0.500 0.000 0.500
0.500 0.500 0.000
0.000 0.000 0.000
```

Formation energy from the elements = -0.012 eV per atom
Uncorrected energy = -5.9 eV per cell

=====

# 12
Entry from the Alexandria database: an optimized crystal structure of AcDy5Ho (GGA-PBE).

Cell and atoms, written as POSCAR:
```
AcDy5Ho
1.0
-5.913 2.257 1.944
-2.298 -5.554 -2.778
5.765 -3.320 9.907
Ac Dy Ho
2 10 2
Direct
0.000 0.000 0.000
0.000 0.000 0.500
0.384 0.036 0.831
0.472 0.761 0.535
0.036 0.384 0.331
0.822 0.178 0.750
0.239 0.528 0.965
0.761 0.472 0.035
0.178 0.822 0.250
0.964 0.616 0.669
0.528 0.239 0.465
0.616 0.964 0.169
0.484 0.516 0.750
0.516 0.484 0.250
```

Formation energy from the elements = 0.100 eV per atom
Uncorrected energy = -62.0 eV per cell

=====

# 13
Entry from the Alexandria database: an optimized crystal structure of Li2TiMn (GGA-PBE).

Cell and atoms, written as POSCAR:
```
Li2TiMn
1.0
-1.069 0.403 3.292
-3.146 -1.217 -0.872
0.974 -9.925 3.375
Mn Li Ti
2 4 2
Direct
0.000 0.000 0.000
0.750 0.250 0.500
0.638 0.125 0.250
0.112 0.625 0.250
0.375 0.362 0.750
0.875 0.888 0.750
0.500 0.500 0.000
0.250 0.750 0.500
```

Formation energy from the elements = 0.362 eV per atom
Uncorrected energy = -38.9 eV per cell

=====

# 14
Entry from the Alexandria database: an optimized crystal structure of KBa2La (GGA-PBE).

Cell and atoms, written as POSCAR:
```
KBa2La
1.0
-7.430 -0.968 2.377
-5.206 -3.906 4.409
-0.834 3.633 6.164
Ba K La
2 1 1
Direct
0.986 0.986 0.065
0.754 0.754 0.699
0.510 0.510 0.543
0.249 0.249 0.193
```

Formation energy from the elements = 0.265 eV per atom
Uncorrected energy = -8.8 eV per cell

=====

# 15
Entry from the Alexandria database: an optimized crystal structure of Cs2TbMg2S4 (GGA-PBE).

Cell and atoms, written as POSCAR:
```
Cs2TbMg2S4
1.0
4.127 0.000 0.000
0.000 8.200 0.523
-2.064 -2.750 7.328
Cs Tb Mg S
2 1 2 4
Direct
0.127 0.535 0.254
0.873 0.465 0.746
0.000 0.000 0.000
0.672 0.976 0.343
0.328 0.024 0.657
0.198 0.150 0.396
0.802 0.850 0.604
0.523 0.780 0.047
0.477 0.220 0.953
```

Uncorrected energy = -38.5 eV per cell
Energy relative to the elements, uncorrected = -1.383 eV/atom

=====

# 16
Entry from the Alexandria database: an optimized crystal structure of CaCeSmLu (GGA-PBE).

Cell and atoms, written as POSCAR:
```
CaCeSmLu
1.0
-0.304 4.180 -3.943
-5.102 2.247 -1.423
-1.325 5.368 1.594
Ca Lu Ce Sm
1 1 1 1
Direct
0.000 0.000 0.000
0.750 0.750 0.750
0.500 0.500 0.500
0.250 0.250 0.250
```

Formation energy from the elements = 0.243 eV per atom
Uncorrected energy = -16.2 eV per cell

=====

# 17
Entry from the Alexandria database: an optimized crystal structure of Dy2ScAu3 (GGA-PBE).

Cell and atoms, written as POSCAR:
```
Dy2ScAu3
1.0
-3.347 3.334 1.654
1.967 -3.349 3.158
9.098 7.827 2.636
Dy Sc Au
4 2 6
Direct
0.000 0.000 0.500
0.333 0.667 0.172
0.667 0.333 0.828
0.000 0.000 0.000
0.333 0.667 0.664
0.667 0.333 0.336
0.333 0.667 0.419
0.667 0.333 0.091
0.000 0.000 0.745
0.000 0.000 0.255
0.333 0.667 0.909
0.667 0.333 0.581
```

Formation energy from the elements = -0.824 eV per atom
Uncorrected energy = -60.6 eV per cell

=====

# 18
Entry from the Alexandria database: an optimized crystal structure of Ta4NiSb (GGA-PBE).

Cell and atoms, written as POSCAR:
```
Ta4NiSb
1.0
-5.323 -0.968 0.766
-2.426 1.582 4.634
-3.566 4.140 -0.058
Ta Ni Sb
4 1 1
Direct
0.875 0.375 0.375
0.375 0.375 0.875
0.375 0.875 0.375
0.375 0.375 0.375
0.750 0.750 0.750
0.000 0.000 0.000
```

Uncorrected energy = -53.9 eV per cell
Energy relative to the elements, uncorrected = 0.567 eV/atom

=====

# 19
Entry from the Alexandria database: an optimized crystal structure of TcSn2Cl (GGA-PBE).

Cell and atoms, written as POSCAR:
```
TcSn2Cl
1.0
6.376 0.000 0.000
0.000 6.376 0.000
3.188 3.188 6.285
Cl Sn Tc
2 4 2
Direct
0.500 0.500 0.000
0.250 0.750 0.500
0.682 0.125 0.250
0.068 0.625 0.250
0.375 0.318 0.750
0.875 0.932 0.750
0.000 0.000 0.000
0.750 0.250 0.500
```

Uncorrected energy = -37.0 eV per cell
Energy relative to the elements, uncorrected = 0.428 eV/atom

=====

# 20
Entry from the Alexandria database: an optimized crystal structure of Li2ScCd9 (GGA-PBE).

Cell and atoms, written as POSCAR:
```
Li2ScCd9
1.0
-1.207 4.168 -0.674
-1.318 0.294 4.178
11.985 4.035 3.498
Li Sc Cd
2 1 9
Direct
0.000 0.000 0.334
0.000 0.000 0.666
0.000 0.000 0.000
0.500 0.500 0.000
0.500 0.500 0.339
0.500 0.500 0.661
0.500 0.000 0.173
0.500 0.000 0.500
0.500 0.000 0.827
0.000 0.500 0.173
0.000 0.500 0.500
0.000 0.500 0.827
```

Formation energy from the elements = -0.176 eV per atom
Uncorrected energy = -20.5 eV per cell

=====

# 21
Entry from the Alexandria database: an optimized crystal structure of NaSc2Bi (GGA-PBE).

Cell and atoms, written as POSCAR:
```
NaSc2Bi
1.0
2.211 0.000 10.570
-1.106 1.915 10.570
-1.106 -1.915 10.570
Sc Na Bi
2 1 1
Direct
0.894 0.894 0.894
0.106 0.106 0.106
0.000 0.000 0.000
0.500 0.500 0.500
```

Formation energy from the elements = 0.159 eV per atom
Uncorrected energy = -17.2 eV per cell

=====

# 22
Entry from the Alexandria database: an optimized crystal structure of Cd2In2Ag5 (GGA-PBE).

Cell and atoms, written as POSCAR:
```
Cd2In2Ag5
1.0
4.709 0.000 0.000
0.000 8.889 0.000
-2.355 -4.444 8.709
Cd In Ag
4 4 10
Direct
0.092 0.649 0.183
0.908 0.466 0.817
0.591 0.149 0.183
0.409 0.966 0.817
0.000 0.904 0.000
0.500 0.404 0.000
0.251 0.408 0.500
0.749 0.908 0.500
0.417 0.655 0.835
0.583 0.821 0.165
0.918 0.155 0.835
0.082 0.321 0.165
0.167 0.021 0.334
0.833 0.687 0.666
0.666 0.521 0.334
0.334 0.187 0.666
0.249 0.724 0.500
0.751 0.224 0.500
```

Formation energy from the elements = 0.008 eV per atom
Uncorrected energy = -43.0 eV per cell

=====

# 23
Entry from the Alexandria database: an optimized crystal structure of BaTcAu2 (GGA-PBE).

Cell and atoms, written as POSCAR:
```
BaTcAu2
1.0
-3.663 0.041 3.745
-4.551 -2.481 -0.760
-1.071 -4.382 2.664
Au Ba Tc
2 1 1
Direct
0.250 0.250 0.250
0.750 0.750 0.750
0.500 0.500 0.500
0.000 0.000 0.000
```

Formation energy from the elements = 0.455 eV per atom
Uncorrected energy = -17.0 eV per cell

=====

# 24
Entry from the Alexandria database: an optimized crystal structure of K2Tl2Cd (GGA-PBE).

Cell and atoms, written as POSCAR:
```
K2Tl2Cd
1.0
5.386 0.000 0.000
2.693 6.332 -0.208
2.693 0.578 11.176
K Tl Cd
4 4 2
Direct
0.298 0.290 0.113
0.503 0.322 0.672
0.702 0.710 0.887
0.497 0.678 0.328
0.997 0.123 0.883
0.146 0.264 0.443
0.003 0.877 0.117
0.854 0.736 0.557
0.777 0.089 0.356
0.223 0.911 0.644
```

Formation energy from the elements = -0.079 eV per atom
Uncorrected energy = -16.5 eV per cell